A plane-wave DFT calculation with PBE was carried out for a relaxed structure of MgZrRu2F.

Cell: 4.426 4.426 4.184 Å, 90.00 90.00 90.00°
Fractional positions:
Mg: 0.000 0.000 0.000
Zr: 0.500 0.500 0.000
Ru: 0.000 0.500 0.500
Ru: 0.500 0.000 0.500
F: 0.500 0.500 0.500

- Space group: No. 123
- Raw formation energy: 66 meV per atom